1.
{
  "formula": "CsBa2H2",
  "functional": "PBE",
  "state": "optimized geometry",
  "cell": [[4.555, 0.000, 0.000], [0.000, 4.555, 0.000], [2.278, 2.278, 10.822]],
  "species": ["Cs", "H", "H", "Ba", "Ba"],
  "fractional_positions": [[0.000, 0.000, 0.000], [0.750, 0.250, 0.500], [0.250, 0.750, 0.500], [0.312, 0.312, 0.375], [0.688, 0.688, 0.625]],
  "volume_a3_per_atom": 44.91,
  "magmom_total_mub_per_fu": 0.00,
  "rho_g_cm3": 3.029,
  "energy_ev_per_atom": -2.530,
  "e_above_lowest_polymorph_mev_per_atom": 0,
  "crystal_system": "tetragonal"
}


2.
{
  "formula": "Cs3Ba12H5",
  "functional": "PBE",
  "state": "optimized geometry",
  "cell": [[-14.819, -6.102, -5.962], [12.056, -12.058, -1.278], [-1.865, 4.480, 16.396]],
  "species": ["Cs", "Cs", "Cs", "Cs", "Cs", "Cs", "Cs", "Cs", "Cs", "Cs", "Cs", "Cs", "H", "H", "H", "H", "H", "H", "H", "H", "H", "H", "H", "H", "H", "H", "H", "H", "H", "H", "H", "H", "Ba", "Ba", "Ba", "Ba", "Ba", "Ba", "Ba", "Ba", "Ba", "Ba", "Ba", "Ba", "Ba", "Ba", "Ba", "Ba", "Ba", "Ba", "Ba", "Ba", "Ba", "Ba", "Ba", "Ba", "Ba", "Ba", "Ba", "Ba", "Ba", "Ba", "Ba", "Ba", "Ba", "Ba", "Ba", "Ba", "Ba", "Ba", "Ba", "Ba", "Ba", "Ba", "Ba", "Ba", "Ba", "Ba", "Ba", "Ba"],
  "fractional_positions": [[0.750, 0.375, 0.125], [0.875, 0.750, 0.125], [0.375, 0.750, 0.625], [0.250, 0.125, 0.375], [0.875, 0.125, 0.250], [0.375, 0.625, 0.250], [0.625, 0.375, 0.750], [0.125, 0.875, 0.750], [0.750, 0.875, 0.625], [0.625, 0.250, 0.375], [0.125, 0.250, 0.875], [0.250, 0.625, 0.875], [0.125, 0.375, 0.250], [0.000, 0.500, 0.000], [0.000, 0.000, 0.000], [0.375, 0.250, 0.125], [0.500, 0.000, 0.500], [0.500, 0.500, 0.000], [0.125, 0.750, 0.375], [0.750, 0.125, 0.875], [0.750, 0.625, 0.375], [0.375, 0.125, 0.750], [0.625, 0.875, 0.250], [0.500, 0.500, 0.500], [0.500, 0.000, 0.000], [0.000, 0.000, 0.500], [0.250, 0.375, 0.625], [0.250, 0.875, 0.125], [0.000, 0.500, 0.500], [0.875, 0.250, 0.625], [0.625, 0.750, 0.875], [0.875, 0.625, 0.750], [0.688, 0.096, 0.990], [0.302, 0.490, 0.394], [0.010, 0.404, 0.312], [0.490, 0.188, 0.096], [0.592, 0.688, 0.698], [0.010, 0.606, 0.198], [0.302, 0.812, 0.408], [0.106, 0.908, 0.096], [0.606, 0.010, 0.698], [0.688, 0.592, 0.198], [0.812, 0.510, 0.404], [0.802, 0.894, 0.990], [0.096, 0.688, 0.490], [0.404, 0.394, 0.092], [0.092, 0.894, 0.404], [0.408, 0.096, 0.606], [0.092, 0.198, 0.188], [0.510, 0.698, 0.106], [0.802, 0.908, 0.312], [0.096, 0.408, 0.106], [0.404, 0.010, 0.812], [0.606, 0.596, 0.408], [0.894, 0.802, 0.490], [0.812, 0.302, 0.908], [0.394, 0.404, 0.592], [0.106, 0.198, 0.510], [0.188, 0.698, 0.092], [0.198, 0.092, 0.688], [0.596, 0.990, 0.188], [0.904, 0.592, 0.894], [0.490, 0.302, 0.894], [0.592, 0.904, 0.394], [0.908, 0.802, 0.812], [0.908, 0.106, 0.596], [0.904, 0.312, 0.510], [0.198, 0.106, 0.010], [0.596, 0.606, 0.908], [0.394, 0.990, 0.302], [0.312, 0.408, 0.802], [0.188, 0.490, 0.596], [0.894, 0.092, 0.904], [0.698, 0.188, 0.592], [0.510, 0.812, 0.904], [0.990, 0.394, 0.802], [0.408, 0.312, 0.302], [0.990, 0.596, 0.688], [0.698, 0.510, 0.606], [0.312, 0.904, 0.010]],
  "volume_a3_per_atom": 48.11,
  "magmom_total_mub_per_fu": 0.00,
  "rho_g_cm3": 3.541,
  "energy_ev_per_atom": -2.110,
  "crystal_system": "cubic"
}


3.
{
  "formula": "Cs3BaH",
  "functional": "PBE",
  "state": "optimized geometry",
  "cell": [[-4.831, -3.048, -3.770], [-3.492, -1.504, 5.691], [-3.363, 5.941, -0.493]],
  "species": ["Cs", "Cs", "Cs", "H", "Ba"],
  "fractional_positions": [[0.000, 0.500, 0.000], [0.000, 0.000, 0.500], [0.500, 0.000, 0.000], [0.000, 0.000, 0.000], [0.500, 0.500, 0.500]],
  "volume_a3_per_atom": 64.13,
  "magmom_total_mub_per_fu": 2.00,
  "rho_g_cm3": 2.781,
  "energy_ev_per_atom": -1.440,
  "crystal_system": "cubic"
}


4.
{
  "formula": "Cs3Ba5H12",
  "functional": "PBE",
  "state": "optimized geometry",
  "cell": [[14.483, 0.000, 0.000], [-4.828, 13.655, 0.000], [-4.828, -6.827, 11.825]],
  "species": ["Cs", "Cs", "Cs", "Cs", "Cs", "Cs", "Cs", "Cs", "Cs", "Cs", "Cs", "Cs", "Ba", "Ba", "Ba", "Ba", "Ba", "Ba", "Ba", "Ba", "Ba", "Ba", "Ba", "Ba", "Ba", "Ba", "Ba", "Ba", "Ba", "Ba", "Ba", "Ba", "H", "H", "H", "H", "H", "H", "H", "H", "H", "H", "H", "H", "H", "H", "H", "H", "H", "H", "H", "H", "H", "H", "H", "H", "H", "H", "H", "H", "H", "H", "H", "H", "H", "H", "H", "H", "H", "H", "H", "H", "H", "H", "H", "H", "H", "H", "H", "H"],
  "fractional_positions": [[0.750, 0.375, 0.125], [0.875, 0.750, 0.125], [0.375, 0.750, 0.625], [0.250, 0.125, 0.375], [0.875, 0.125, 0.250], [0.375, 0.625, 0.250], [0.625, 0.375, 0.750], [0.125, 0.875, 0.750], [0.750, 0.875, 0.625], [0.625, 0.250, 0.375], [0.125, 0.250, 0.875], [0.250, 0.625, 0.875], [0.125, 0.375, 0.250], [0.000, 0.500, 0.000], [0.000, 0.000, 0.000], [0.375, 0.250, 0.125], [0.500, 0.000, 0.500], [0.500, 0.500, 0.000], [0.125, 0.750, 0.375], [0.750, 0.125, 0.875], [0.750, 0.625, 0.375], [0.375, 0.125, 0.750], [0.625, 0.875, 0.250], [0.500, 0.500, 0.500], [0.500, 0.000, 0.000], [0.000, 0.000, 0.500], [0.250, 0.375, 0.625], [0.250, 0.875, 0.125], [0.000, 0.500, 0.500], [0.875, 0.250, 0.625], [0.625, 0.750, 0.875], [0.875, 0.625, 0.750], [0.699, 0.116, 0.022], [0.323, 0.522, 0.406], [0.978, 0.384, 0.301], [0.522, 0.199, 0.116], [0.583, 0.699, 0.677], [0.978, 0.594, 0.177], [0.323, 0.801, 0.417], [0.094, 0.917, 0.116], [0.594, 0.978, 0.677], [0.699, 0.583, 0.177], [0.801, 0.478, 0.384], [0.823, 0.906, 0.022], [0.116, 0.699, 0.522], [0.384, 0.406, 0.083], [0.083, 0.906, 0.384], [0.417, 0.116, 0.594], [0.083, 0.177, 0.199], [0.478, 0.677, 0.094], [0.823, 0.917, 0.301], [0.116, 0.417, 0.094], [0.384, 0.978, 0.801], [0.594, 0.616, 0.417], [0.906, 0.823, 0.522], [0.801, 0.323, 0.917], [0.406, 0.384, 0.583], [0.094, 0.177, 0.478], [0.199, 0.677, 0.083], [0.177, 0.083, 0.699], [0.616, 0.022, 0.199], [0.884, 0.583, 0.906], [0.522, 0.323, 0.906], [0.583, 0.884, 0.406], [0.917, 0.823, 0.801], [0.917, 0.094, 0.616], [0.884, 0.301, 0.478], [0.177, 0.094, 0.978], [0.616, 0.594, 0.917], [0.406, 0.022, 0.323], [0.301, 0.417, 0.823], [0.199, 0.522, 0.616], [0.906, 0.083, 0.884], [0.677, 0.199, 0.583], [0.478, 0.801, 0.884], [0.022, 0.406, 0.823], [0.417, 0.301, 0.323], [0.022, 0.616, 0.699], [0.677, 0.478, 0.594], [0.301, 0.884, 0.978]],
  "volume_a3_per_atom": 29.23,
  "magmom_total_mub_per_fu": 0.00,
  "rho_g_cm3": 3.117,
  "energy_ev_per_atom": -2.866,
  "crystal_system": "cubic"
}


5.
{
  "formula": "CsBaH2",
  "functional": "PBE",
  "state": "optimized geometry",
  "cell": [[4.447, 0.000, 0.000], [2.224, 3.851, 0.000], [2.224, 1.284, 8.178]],
  "species": ["Cs", "H", "H", "Ba"],
  "fractional_positions": [[0.000, 0.000, 0.000], [0.126, 0.126, 0.622], [0.874, 0.874, 0.378], [0.500, 0.500, 0.500]],
  "volume_a3_per_atom": 35.02,
  "magmom_total_mub_per_fu": 0.00,
  "rho_g_cm3": 3.228,
  "energy_ev_per_atom": -2.566,
  "e_above_lowest_polymorph_mev_per_atom": 0,
  "crystal_system": "trigonal"
}


6.
{
  "formula": "CsBa2H2",
  "functional": "PBE",
  "state": "optimized geometry",
  "cell": [[9.255, 0.000, 0.000], [0.000, 9.255, 0.000], [0.000, 0.000, 5.098]],
  "species": ["Cs", "Cs", "H", "H", "H", "H", "Ba", "Ba", "Ba", "Ba"],
  "fractional_positions": [[0.000, 0.000, 0.000], [0.500, 0.500, 0.000], [0.226, 0.726, 0.000], [0.726, 0.774, 0.000], [0.774, 0.274, 0.000], [0.274, 0.226, 0.000], [0.175, 0.675, 0.500], [0.675, 0.825, 0.500], [0.825, 0.325, 0.500], [0.325, 0.175, 0.500]],
  "volume_a3_per_atom": 43.67,
  "magmom_total_mub_per_fu": 0.00,
  "rho_g_cm3": 3.115,
  "energy_ev_per_atom": -2.250,
  "e_above_lowest_polymorph_mev_per_atom": 280,
  "crystal_system": "tetragonal"
}


7.
{
  "formula": "Cs2BaH2",
  "functional": "PBE",
  "state": "optimized geometry",
  "cell": [[-1.341, -8.542, -0.244], [-7.380, -4.081, 1.924], [3.232, 6.595, -4.570]],
  "species": ["Cs", "Cs", "Ba", "H", "H"],
  "fractional_positions": [[0.680, 0.680, 0.000], [0.320, 0.320, 0.000], [0.000, 0.000, 0.000], [0.750, 0.250, 0.500], [0.250, 0.750, 0.500]],
  "volume_a3_per_atom": 47.13,
  "magmom_total_mub_per_fu": 0.00,
  "rho_g_cm3": 2.855,
  "energy_ev_per_atom": -1.900,
  "e_above_lowest_polymorph_mev_per_atom": 107,
  "crystal_system": "tetragonal"
}


8.
{
  "formula": "Cs2BaH2",
  "functional": "PBE",
  "state": "optimized geometry",
  "cell": [[-2.591, 8.083, 0.365], [-6.761, -1.953, -4.760], [-2.824, -1.107, 4.464]],
  "species": ["Cs", "Cs", "Cs", "Cs", "H", "H", "H", "H", "Ba", "Ba"],
  "fractional_positions": [[0.155, 0.655, 0.500], [0.655, 0.845, 0.500], [0.845, 0.345, 0.500], [0.345, 0.155, 0.500], [0.287, 0.787, 0.000], [0.787, 0.713, 0.000], [0.713, 0.213, 0.000], [0.213, 0.287, 0.000], [0.000, 0.000, 0.000], [0.500, 0.500, 0.000]],
  "volume_a3_per_atom": 38.96,
  "magmom_total_mub_per_fu": 0.00,
  "rho_g_cm3": 3.454,
  "energy_ev_per_atom": -2.007,
  "e_above_lowest_polymorph_mev_per_atom": 0,
  "crystal_system": "tetragonal"
}


9.
{
  "formula": "Cs2BaHg2H6",
  "functional": "PBE",
  "state": "optimized geometry",
  "cell": [[-4.484, 0.476, -4.341], [0.052, -4.825, 3.930], [-3.068, 6.518, 3.884]],
  "species": ["Cs", "Cs", "Ba", "Hg", "Hg", "H", "H", "H", "H", "H", "H"],
  "fractional_positions": [[0.692, 0.383, 0.140], [0.308, 0.617, 0.860], [0.500, 0.000, 0.500], [0.951, 0.902, 0.644], [0.049, 0.098, 0.356], [0.777, 0.553, 0.634], [0.220, 0.945, 0.216], [0.274, 0.055, 0.784], [0.780, 0.055, 0.784], [0.726, 0.945, 0.216], [0.223, 0.447, 0.366]],
  "volume_a3_per_atom": 23.26,
  "magmom_total_mub_per_fu": 0.00,
  "rho_g_cm3": 5.260,
  "energy_ev_per_atom": -2.370,
  "crystal_system": "monoclinic"
}


10.
{
  "formula": "Cs2BaH2I2",
  "functional": "PBE",
  "state": "optimized geometry",
  "cell": [[5.373, 0.000, 0.000], [0.000, 5.373, 0.000], [-2.687, -2.687, 10.035]],
  "species": ["Cs", "Cs", "Ba", "H", "H", "I", "I"],
  "fractional_positions": [[0.369, 0.369, 0.738], [0.631, 0.631, 0.262], [0.000, 0.000, 0.000], [0.000, 0.500, 0.000], [0.500, 0.000, 0.000], [0.172, 0.172, 0.344], [0.828, 0.828, 0.656]],
  "volume_a3_per_atom": 41.39,
  "magmom_total_mub_per_fu": 0.00,
  "rho_g_cm3": 3.777,
  "energy_ev_per_atom": -2.910,
  "crystal_system": "tetragonal"
}


11.
{
  "formula": "CsBaH6Ir",
  "functional": "PBE",
  "state": "optimized geometry",
  "cell": [[5.810, 0.000, 0.000], [2.905, 5.032, 0.000], [0.000, 0.000, 5.949]],
  "species": ["Cs", "Ba", "H", "H", "H", "H", "H", "H", "Ir"],
  "fractional_positions": [[0.000, 0.000, 0.000], [0.667, 0.667, 0.500], [0.116, 0.319, 0.321], [0.318, 0.116, 0.679], [0.566, 0.318, 0.679], [0.116, 0.566, 0.679], [0.319, 0.566, 0.321], [0.566, 0.116, 0.321], [0.333, 0.333, 0.500]],
  "volume_a3_per_atom": 19.33,
  "magmom_total_mub_per_fu": 0.11,
  "rho_g_cm3": 4.473,
  "energy_ev_per_atom": -3.923,
  "crystal_system": "trigonal"
}


12.
{
  "formula": "Cs3BaMg2H9",
  "functional": "PBE",
  "state": "optimized geometry",
  "cell": [[6.318, 0.000, 0.000], [-3.159, 5.472, 0.000], [0.000, 0.000, 7.903]],
  "species": ["Cs", "Cs", "Cs", "Ba", "Mg", "Mg", "H", "H", "H", "H", "H", "H", "H", "H", "H"],
  "fractional_positions": [[0.333, 0.667, 0.689], [0.000, 0.000, 0.000], [0.667, 0.333, 0.311], [0.000, 0.000, 0.500], [0.333, 0.667, 0.158], [0.667, 0.333, 0.842], [0.814, 0.186, 0.701], [0.814, 0.629, 0.701], [0.371, 0.186, 0.701], [0.629, 0.814, 0.299], [0.186, 0.371, 0.299], [0.186, 0.814, 0.299], [0.500, 0.000, 0.000], [0.000, 0.500, 0.000], [0.500, 0.500, 0.000]],
  "volume_a3_per_atom": 18.22,
  "magmom_total_mub_per_fu": 0.00,
  "rho_g_cm3": 3.608,
  "energy_ev_per_atom": -2.768,
  "crystal_system": "trigonal"
}